# 1
Compound: MnCd2In
Source: Alexandria
Functional: SCAN
Structure: PBEsol geometry

**Volume**: 76 Å³/cell
**Magnetic moment**: 3.83 μB/cell
**Formation energy from the elements**: 58 meV/atom
**Calculated total energy**: -28.0598 eV/atom

a b c (Å): 3.0446 4.1158 6.0864
angles (deg): 90.00 90.00 90.00
Closest atoms and distances in Å follow each position.
Space group Pmm2 (No. 25)
Unique sites:
Mn 0.0000 0.0000 0.0000 [1 per cell]  4 In 2.89, 6 Cd 2.96-3.08, 2 Mn 3.04
Cd 0.0000 0.0000 0.4932 [1 per cell]  6 Cd 2.97-3.04, 2 Mn 3.00-3.08, 4 In 3.09
Cd 0.5000 0.5000 0.2448 [1 per cell]  1 In 2.84, 4 Mn 2.96, 6 Cd 2.97-3.04
In 0.5000 0.5000 0.7779 [1 per cell]  5 Cd 2.84-3.09, 4 Mn 2.89, 2 In 3.04

---

# 2
Compound: CrRuBr4
Source: Alexandria
Functional: SCAN
Structure: PBEsol geometry

**E_form (uncorrected)**: 1.29 eV per atom
**Volume**: 599 Å³/cell
**Magnetic moment**: 28.82 μB/cell
**Calculated total energy**: -20.5469 eV/atom

a b c (Å): 8.4298 8.4298 8.4298
angles (deg): 90.00 90.00 90.00
Closest atoms and distances in Å follow each position.
Space group F-43m (No. 216)
Unique sites:
Cr 0.0000 0.0000 0.0000 [4 per cell]  12 Br 3.50, 4 Ru 3.65
Ru 0.2500 0.2500 0.2500 [4 per cell]  12 Br 3.49, 4 Cr 3.65
Br 0.1245 0.1245 0.6245 [16 per cell]  6 Br 2.97-2.99

---

# 3
Compound: ZrTa2Rh
Source: Alexandria
Functional: SCAN
Structure: PBEsol geometry

**Volume**: 138 Å³/cell
**Magnetic moment**: 0.00 μB/cell
**Formation energy from the elements**: -225 meV/atom
**Calculated total energy**: -49.6343 eV/atom

a b c (Å): 3.3096 4.6138 9.0617
angles (deg): 90.00 90.00 90.00
Closest atoms and distances in Å follow each position.
Space group Imm2 (No. 44)
Unique sites:
Zr 0.0000 0.0000 0.0000 [2 per cell]  2 Rh 2.78, 6 Ta 2.84-2.89
Ta 0.0000 0.0000 0.4851 [2 per cell]  2 Rh 2.72, 2 Ta 2.83, 4 Zr 2.84
Ta 0.0000 0.5000 0.2379 [2 per cell]  2 Ta 2.83, 4 Rh 2.84, 4 Zr 2.89-3.16
Rh 0.0000 0.5000 0.7464 [2 per cell]  6 Ta 2.72-2.84, 2 Zr 2.78

---

# 4
Compound: NaLi3N
Source: Alexandria
Functional: SCAN
Structure: PBEsol geometry

**E_form (uncorrected)**: -0.15 eV per atom
**Volume**: 69 Å³/cell
**Magnetic moment**: 0.00 μB/cell
**Calculated total energy**: -4.2872 eV/atom

a b c (Å): 4.0968 4.0968 4.0968
angles (deg): 90.00 90.00 90.00
Closest atoms and distances in Å follow each position.
Space group Pm-3m (No. 221)
Unique sites:
Na 0.0000 0.0000 0.0000 [1 per cell]  12 Li 2.90
Li 0.0000 0.5000 0.5000 [3 per cell]  2 N 2.05
N 0.5000 0.5000 0.5000 [1 per cell]  6 Li 2.05

---

# 5
Compound: Ti2SnHPb
Source: Alexandria
Functional: SCAN
Structure: PBEsol geometry

**Volume**: 82 Å³/cell
**Magnetic moment**: 0.00 μB/cell
**Calculated total energy**: -29.3557 eV/atom

a b c (Å): 4.2568 4.2568 4.5107
angles (deg): 90.00 90.00 90.00
Closest atoms and distances in Å follow each position.
Space group P4/mmm (No. 123)
Unique sites:
Ti 0.0000 0.5000 0.0000 [2 per cell]  2 H 2.13
Sn 0.0000 0.0000 0.5000 [1 per cell]  2 H 2.26
H 0.0000 0.0000 0.0000 [1 per cell]  4 Ti 2.13, 2 Sn 2.26
Pb 0.5000 0.5000 0.5000 [1 per cell]  4 Sn 3.01, 8 Ti 3.10

---

# 6
Compound: MnCrNi
Source: Alexandria
Functional: SCAN
Structure: PBEsol geometry

**Volume**: 32 Å³/cell
**Magnetic moment**: 0.00 μB/cell
**Formation energy from the elements**: 250 meV/atom
**Calculated total energy**: -17.3548 eV/atom

a b c (Å): 2.4384 2.4384 6.1787
angles (deg): 90.00 90.00 120.00
Closest atoms and distances in Å follow each position.
Space group P3m1 (No. 156)
Unique sites:
Mn 0.0000 0.0000 0.0000 [1 per cell]  6 Mn 2.44, 3 Ni 2.47, 3 Cr 2.51
Cr 0.6667 0.3333 0.3369 [1 per cell]  6 Cr 2.44, 3 Ni 2.50, 3 Mn 2.51
Ni 0.3333 0.6667 0.6714 [1 per cell]  6 Ni 2.44, 3 Mn 2.47, 3 Cr 2.50

---

# 7
Compound: Tm3In4Co2
Source: Alexandria
Functional: SCAN
Structure: PBEsol geometry

**Volume**: 181 Å³/cell
**Magnetic moment**: 0.76 μB/cell
**Formation energy from the elements**: -447 meV/atom
**Calculated total energy**: -36.4081 eV/atom

a b c (Å): 7.7108 7.7108 3.5083
angles (deg): 90.00 90.00 120.00
Closest atoms and distances in Å follow each position.
Space group P-6 (No. 174)
Unique sites:
Tm 0.0430 0.4207 0.0000 [3 per cell]  2 Co 2.73
In 0.2569 0.2535 0.5000 [3 per cell]  3 Co 2.64-2.94, 1 In 2.90
In 0.6667 0.3333 0.5000 [1 per cell]  3 In 2.90, 6 Tm 3.16
Co 0.0000 0.0000 0.0000 [1 per cell]  6 In 2.64
Co 0.3333 0.6667 0.5000 [1 per cell]  6 Tm 2.73, 3 In 2.94

---

# 8
Compound: ZrReH2
Source: Alexandria
Functional: SCAN
Structure: PBEsol geometry

**Volume**: 164 Å³/cell
**Magnetic moment**: 0.00 μB/cell
**Calculated total energy**: -26.6813 eV/atom

a b c (Å): 5.4757 5.4757 5.4757
angles (deg): 90.00 90.00 90.00
Closest atoms and distances in Å follow each position.
Space group Fm-3m (No. 225)
Unique sites:
Zr 0.0000 0.0000 0.0000 [4 per cell]  8 H 2.37
Re 0.0000 0.0000 0.5000 [4 per cell]  8 H 2.37
H 0.2500 0.2500 0.2500 [8 per cell]  4 Zr 2.37, 4 Re 2.37